The following is a meta-GGA SCAN calculation of a crystal of KInCo relaxed with PBEsol, from the Alexandria database.

Calculated values
The value obtained for the polymorph energy (0 for the lowest one) is 218 kJ/mol of formula units. The value obtained for the energy relative to the elements is 1.41 eV/atom. Its theoretical density is 3.85 g/cm³. For the volume, the calculation gives 30.56 Å³/atom. The density of states at the Fermi level is 6.2 states/eV per cell.

Cell and atoms, written as POSCAR:
```
KInCo
1.0
0.000 3.579 3.579
3.579 0.000 3.579
3.579 3.579 0.000
K In Co
1 1 1
Direct
0.000 0.000 0.000 K
0.250 0.250 0.250 In
0.750 0.750 0.750 Co
```